A relaxed TbSm4Tm7 crystal. Source: the Alexandria database, functional PBE.

```
data_TbSm4Tm7
_chemical_formula_sum 'Tb2 Sm8 Tm14'
_cell_length_a 12.044
_cell_length_b 5.830
_cell_length_c 12.689
_cell_angle_alpha 90.00
_cell_angle_beta 118.22
_cell_angle_gamma 90.00
_space_group_name_H-M_alt 'C 1 2/m 1'
_space_group_IT_number 12
_space_group_name_Hall '-C 2y'
loop_
_atom_site_label
_atom_site_type_symbol
_atom_site_fract_x
_atom_site_fract_y
_atom_site_fract_z
Tb1 Tb 0.000 0.000 0.000
Sm1 Sm 0.139 0.500 0.777
Sm2 Sm 0.225 0.000 0.668
Tm1 Tm 0.000 0.500 0.000
Tm2 Tm 0.068 0.000 0.313
Tm3 Tm 0.132 0.500 0.495
Tm4 Tm 0.212 0.000 0.924
```

## Properties
offset from the most stable computed form: 198 meV/atom
total DFT energy (no corrections): -4.287 eV per atom
DOS(E_F): 40.7 states/eV per cell
total magnetization: 0.001 μB per atom
ΔH_f (0 K): 280 meV per atom

***

A relaxed Ca2TlBiAu4 crystal. Source: the Alexandria database, functional PBE.

```
data_Ca2TlBiAu4
_chemical_formula_sum 'Ca6 Tl3 Bi3 Au12'
_cell_length_a 5.0938
_cell_length_b 5.0938
_cell_length_c 24.9856
_cell_angle_alpha 90.00
_cell_angle_beta 90.00
_cell_angle_gamma 120.00
_space_group_name_H-M_alt 'R -3 m'
_space_group_IT_number 166
_space_group_name_Hall '-R 3 2"'
loop_
_atom_site_label
_atom_site_type_symbol
_atom_site_fract_x
_atom_site_fract_y
_atom_site_fract_z
Ca1 Ca 0.0000 0.0000 0.2504
Tl1 Tl 0.0000 0.0000 0.0000
Bi1 Bi 0.0000 0.0000 0.5000
Au1 Au 0.0000 0.0000 0.1223
Au2 Au 0.0000 0.0000 0.3745
```

## Properties
total DFT energy (no corrections): -3.438 eV per atom
DOS(E_F): 7.2 states/eV per cell
total magnetization: 0.000 μB per atom
ΔH_f (0 K): -518 meV per atom